[1]
# Li3Hg2S2Cl3 | Alexandria via LeMat-Bulk | PBE | relaxed
data_Li3Hg2S2Cl3
_chemical_formula_sum 'Li6 Hg4 S4 Cl6'
_space_group_name_H-M_alt 'I 4/m m m'
_space_group_IT_number 139
_space_group_name_Hall '-I 4 2'
_cell_length_a 4.265
_cell_length_b 4.265
_cell_length_c 25.900
_cell_angle_alpha 90.00
_cell_angle_beta 90.00
_cell_angle_gamma 90.00
loop_
_atom_site_label
_atom_site_fract_x
_atom_site_fract_y
_atom_site_fract_z
Li1 0.000 0.000 0.000
Li2 0.000 0.000 0.412
Hg1 0.000 0.500 0.250
S1 0.000 0.000 0.311
Cl1 0.000 0.000 0.093
Cl2 0.000 0.000 0.500
# Spin magnetization   0.000 Bohr magnetons per cell
# Electronic total energy   -2.93 eV per atom
# Energy relative to the elements, uncorrected   -0.91 eV/atom



[2]
# LiHgS2Cl | Alexandria via LeMat-Bulk | PBE | relaxed
data_LiHgS2Cl
_chemical_formula_sum 'Li1 Hg1 S2 Cl1'
_space_group_name_H-M_alt 'P 4/m m m'
_space_group_IT_number 123
_space_group_name_Hall '-P 4 2'
_cell_length_a 4.964
_cell_length_b 4.964
_cell_length_c 5.712
_cell_angle_alpha 90.00
_cell_angle_beta 90.00
_cell_angle_gamma 90.00
loop_
_atom_site_label
_atom_site_fract_x
_atom_site_fract_y
_atom_site_fract_z
Li1 0.000 0.000 0.000
Hg1 0.500 0.500 0.500
S1 0.000 0.500 0.500
Cl1 0.500 0.500 0.000
# Energy relative to the lowest polymorph listed for this composition   0 meV per atom
# Spin magnetization   1.019 Bohr magnetons per cell
# Electronic total energy   -2.38 eV per atom
# Density of states at the Fermi level   7.21 states/eV/cell
# Energy relative to the elements, uncorrected   0.09 eV/atom



[3]
# LiHgSCl2 | Alexandria via LeMat-Bulk | PBE | relaxed
data_LiHgSCl2
_chemical_formula_sum 'Li1 Hg1 S1 Cl2'
_space_group_name_H-M_alt 'P 4/m m m'
_space_group_IT_number 123
_space_group_name_Hall '-P 4 2'
_cell_length_a 5.401
_cell_length_b 5.401
_cell_length_c 4.938
_cell_angle_alpha 90.00
_cell_angle_beta 90.00
_cell_angle_gamma 90.00
loop_
_atom_site_label
_atom_site_fract_x
_atom_site_fract_y
_atom_site_fract_z
Li1 0.000 0.000 0.000
Hg1 0.500 0.500 0.500
S1 0.500 0.500 0.000
Cl1 0.000 0.500 0.500
# Energy relative to the lowest polymorph listed for this composition   15 meV per atom
# Spin magnetization   0.663 Bohr magnetons per cell
# Electronic total energy   -2.30 eV per atom
# Density of states at the Fermi level   4.94 states/eV/cell
# Energy relative to the elements, uncorrected   -0.29 eV/atom



[4]
# LiHgSCl2 | Alexandria via LeMat-Bulk | PBE | relaxed
data_LiHgSCl2
_chemical_formula_sum 'Li1 Hg1 S1 Cl2'
_space_group_name_H-M_alt 'P 4/m m m'
_space_group_IT_number 123
_space_group_name_Hall '-P 4 2'
_cell_length_a 4.367
_cell_length_b 4.367
_cell_length_c 5.957
_cell_angle_alpha 90.00
_cell_angle_beta 90.00
_cell_angle_gamma 90.00
loop_
_atom_site_label
_atom_site_fract_x
_atom_site_fract_y
_atom_site_fract_z
Li1 0.000 0.000 0.000
Hg1 0.500 0.500 0.500
S1 0.000 0.000 0.500
Cl1 0.000 0.500 0.000
# Energy relative to the lowest polymorph listed for this composition   91 meV per atom
# Spin magnetization   0.766 Bohr magnetons per cell
# Electronic total energy   -2.22 eV per atom
# Density of states at the Fermi level   4.22 states/eV/cell
# Energy relative to the elements, uncorrected   -0.22 eV/atom



[5]
# LiHgSCl | Alexandria via LeMat-Bulk | PBE | relaxed
data_LiHgSCl
_chemical_formula_sum 'Li3 Hg3 S3 Cl3'
_space_group_name_H-M_alt 'R 3 m'
_space_group_IT_number 160
_space_group_name_Hall 'R 3 -2"'
_cell_length_a 4.2011
_cell_length_b 4.2011
_cell_length_c 19.7759
_cell_angle_alpha 90.00
_cell_angle_beta 90.00
_cell_angle_gamma 120.00
loop_
_atom_site_label
_atom_site_fract_x
_atom_site_fract_y
_atom_site_fract_z
Li1 0.0000 0.0000 0.0000
Hg1 0.0000 0.0000 0.4910
S1 0.0000 0.0000 0.1269
Cl1 0.0000 0.0000 0.6378
# Spin magnetization   0.000 Bohr magnetons per cell
# Electronic total energy   -2.96 eV per atom
# Energy relative to the elements, uncorrected   -0.91 eV/atom



[6]
# LiHg2SCl | Alexandria via LeMat-Bulk | PBE | relaxed
data_LiHg2SCl
_chemical_formula_sum 'Li1 Hg2 S1 Cl1'
_space_group_name_H-M_alt 'P 4/m m m'
_space_group_IT_number 123
_space_group_name_Hall '-P 4 2'
_cell_length_a 5.316
_cell_length_b 5.316
_cell_length_c 4.736
_cell_angle_alpha 90.00
_cell_angle_beta 90.00
_cell_angle_gamma 90.00
loop_
_atom_site_label
_atom_site_fract_x
_atom_site_fract_y
_atom_site_fract_z
Li1 0.000 0.000 0.000
Hg1 0.000 0.500 0.500
S1 0.000 0.000 0.500
Cl1 0.500 0.500 0.000
# Spin magnetization   0.000 Bohr magnetons per cell
# Electronic total energy   -2.15 eV per atom
# Density of states at the Fermi level   1.06 states/eV/cell
# Energy relative to the elements, uncorrected   -0.45 eV/atom



[7]
# LiHgSCl2 | Alexandria via LeMat-Bulk | PBE | relaxed
data_LiHgSCl2
_chemical_formula_sum 'Li1 Hg1 S1 Cl2'
_space_group_name_H-M_alt 'P 4/m m m'
_space_group_IT_number 123
_space_group_name_Hall '-P 4 2'
_cell_length_a 4.993
_cell_length_b 4.993
_cell_length_c 5.026
_cell_angle_alpha 90.00
_cell_angle_beta 90.00
_cell_angle_gamma 90.00
loop_
_atom_site_label
_atom_site_fract_x
_atom_site_fract_y
_atom_site_fract_z
Li1 0.000 0.000 0.000
Hg1 0.500 0.500 0.000
S1 0.000 0.000 0.500
Cl1 0.000 0.500 0.500
# Energy relative to the lowest polymorph listed for this composition   0 meV per atom
# Spin magnetization   0.000 Bohr magnetons per cell
# Electronic total energy   -2.31 eV per atom
# Density of states at the Fermi level   1.34 states/eV/cell
# Energy relative to the elements, uncorrected   -0.31 eV/atom



[8]
# LiHgSbCl6 | Alexandria via LeMat-Bulk | PBE | relaxed
data_LiHgSbCl6
_chemical_formula_sum 'Li1 Hg1 Sb1 Cl6'
_space_group_name_H-M_alt 'P 3 1 2'
_space_group_IT_number 149
_cell_length_a 6.4855
_cell_length_b 6.4855
_cell_length_c 8.9999
_cell_angle_alpha 90.00
_cell_angle_beta 90.00
_cell_angle_gamma 120.00
loop_
_space_group_symop_operation_xyz
'x,y,z'
'-y,x-y,z'
'-x+y,-x,z'
'-y,-x,-z'
'-x+y,y,-z'
'x,x-y,-z'
loop_
_atom_site_label
_atom_site_fract_x
_atom_site_fract_y
_atom_site_fract_z
Li1 0.0000 0.0000 0.0000
Hg1 0.6667 0.3333 0.5000
Sb1 0.3333 0.6667 0.0000
Cl1 0.0367 0.3554 0.1561
# Spin magnetization   0.000 Bohr magnetons per cell
# Electronic total energy   -2.79 eV per atom
# Energy relative to the elements, uncorrected   -0.85 eV/atom



Question: energy relative to the elements, uncorrected of number 8 (LiHgSbCl6)?
Answer: -0.85 eV/atom